No. 1
Density functional theory data (PBE-GGA) for a relaxed structure of Er2TlS.

Output
N(E_F) in states/eV per cell: 1.76
Electronic total energy in eV for the cell shown: -20.2

Cell lengths 3.781, 3.786, 8.179 Å; angles 103.26, 90.00, 119.96 degrees
Sites, in units of the cell vectors:
Er 0.733 0.966 0.701
Er 0.267 0.034 0.299
S 0.000 0.500 0.500
Tl 0.500 0.500 0.000



No. 2
Density functional theory data (PBE-GGA) for a relaxed structure of Er3TlS6.

Output
Electronic total energy in eV for the cell shown: -112.7

Cell lengths 6.612, 8.531, 8.531 Å; angles 102.87, 90.00, 90.00 degrees
Sites, in units of the cell vectors:
S 0.723 0.550 0.099
S 0.688 0.971 0.029
S 0.223 0.099 0.550
S 0.723 0.901 0.450
S 0.185 0.695 0.630
S 0.223 0.450 0.901
S 0.685 0.305 0.370
S 0.124 0.779 0.221
S 0.685 0.630 0.695
S 0.185 0.370 0.305
S 0.188 0.029 0.971
S 0.624 0.221 0.779
Er 0.483 0.285 0.089
Er 0.983 0.089 0.285
Er 0.393 0.406 0.594
Er 0.483 0.911 0.715
Er 0.983 0.715 0.911
Er 0.893 0.594 0.406
Tl 0.499 0.798 0.202
Tl 0.999 0.202 0.798